Entry 1:
Computed, not measured: a relaxed structure of CeCuSi3 at the PBE-GGA level of DFT.

Computed properties:
* formation energy (no corrections): -0.4220 eV/atom
* E_tot: -56.818 eV per cell

Cell lengths 10.7528, 10.7528, 4.1169 Å; angles 90.00, 90.00, 158.20 degrees
Sites, in units of the cell vectors:
Ce  0.1676  0.8324  0.0000
Ce  0.8324  0.1676  0.0000
Cu  0.3894  0.6106  0.5000
Cu  0.6106  0.3894  0.5000
Si  0.0552  0.9448  0.5000
Si  0.2789  0.7211  0.5000
Si  0.4445  0.5555  0.0000
Si  0.5555  0.4445  0.0000
Si  0.7211  0.2789  0.5000
Si  0.9448  0.0552  0.5000

=====

Entry 2:
Computed, not measured: a relaxed structure of Nd6TmMg5 at the PBE-GGA level of DFT.

Computed properties:
* E_tot: -41.824 eV per cell

Cell lengths 5.5279, 7.8004, 8.7902 Å; angles 90.00, 108.29, 90.00 degrees
Sites, in units of the cell vectors:
Nd  0.0000  0.2405  0.0000
Nd  0.0000  0.7595  0.0000
Nd  0.3326  0.2482  0.6610
Nd  0.3326  0.7518  0.6610
Nd  0.6674  0.2482  0.3390
Nd  0.6674  0.7518  0.3390
Tm  0.5000  0.5000  0.0000
Mg  0.1592  0.5000  0.3231
Mg  0.1641  0.0000  0.3342
Mg  0.5000  0.0000  0.0000
Mg  0.8359  0.0000  0.6658
Mg  0.8408  0.5000  0.6769

=====

Entry 3:
Computed, not measured: a relaxed structure of Te2PPtN at the PBE-GGA level of DFT.

Computed properties:
* formation energy (no corrections): 0.7720 eV/atom
* E_tot: -22.199 eV per cell

Cell lengths 5.5069, 5.5069, 3.6849 Å; angles 90.00, 90.00, 90.00 degrees
Sites, in units of the cell vectors:
Te  0.0000  0.5000  0.0000
Te  0.5000  0.0000  0.0000
P  0.0000  0.0000  0.5000
Pt  0.5000  0.5000  0.0000
N  0.5000  0.5000  0.5000

=====

Entry 4:
Computed, not measured: a relaxed structure of Na5B7C3 at the PBE-GGA level of DFT.

Computed properties:
* E_tot: -158.366 eV per cell

Cell lengths 9.0556, 9.0556, 13.3943 Å; angles 112.92, 112.92, 17.98 degrees
Sites, in units of the cell vectors:
Na  0.0000  0.0000  0.0000
Na  0.0007  0.0007  0.4971
Na  0.1964  0.1964  0.3969
Na  0.2005  0.2005  0.8994
Na  0.3989  0.3989  0.8013
Na  0.4005  0.4005  0.2951
Na  0.5992  0.5992  0.1973
Na  0.5999  0.5999  0.7002
Na  0.7988  0.7988  0.5993
Na  0.7995  0.7995  0.0974
B  0.0407  0.0407  0.8322
B  0.1693  0.1693  0.5890
B  0.2295  0.2295  0.2076
B  0.3656  0.3656  0.4792
B  0.3724  0.3724  0.9948
B  0.4295  0.4295  0.6091
B  0.5613  0.5613  0.3699
B  0.6301  0.6301  0.5091
B  0.6352  0.6352  0.0207
B  0.7626  0.7626  0.7771
B  0.8221  0.8221  0.3918
B  0.8319  0.8319  0.9147
B  0.9668  0.9668  0.1812
B  0.9724  0.9724  0.6968
C  0.0309  0.0309  0.3079
C  0.1664  0.1664  0.0835
C  0.2310  0.2310  0.7145
C  0.4352  0.4352  0.1189
C  0.5723  0.5723  0.8945
C  0.7621  0.7621  0.2715

=====

Entry 5:
Computed, not measured: a relaxed structure of BaZrNiAu2 at the PBE-GGA level of DFT.

Computed properties:
* E_tot: -22.917 eV per cell

Cell lengths 5.3973, 5.3973, 4.8263 Å; angles 90.00, 90.00, 90.00 degrees
Sites, in units of the cell vectors:
Ba  0.0000  0.0000  0.0000
Zr  0.5000  0.5000  0.5000
Ni  0.5000  0.5000  0.0000
Au  0.0000  0.5000  0.5000
Au  0.5000  0.0000  0.5000

=====

Entry 6:
Computed, not measured: a relaxed structure of BaHgSe2 at the PBE-GGA level of DFT.

Computed properties:
* formation energy (no corrections): -0.8054 eV/atom
* E_tot: -12.415 eV per cell

Cell lengths 5.2705, 5.2705, 4.0502 Å; angles 90.00, 90.00, 90.00 degrees
Sites, in units of the cell vectors:
Ba  0.0000  0.0000  0.0000
Hg  0.5000  0.5000  0.0000
Se  0.0000  0.5000  0.5000
Se  0.5000  0.0000  0.5000

=====

Entry 7:
Computed, not measured: a relaxed structure of BaMg4Hg at the PBE-GGA level of DFT.

Computed properties:
* E_tot: -8.800 eV per cell

Cell lengths 6.2520, 6.2520, 6.2520 Å; angles 60.00, 60.00, 60.00 degrees
Sites, in units of the cell vectors:
Ba  0.0000  0.0000  0.0000
Mg  0.3760  0.3760  0.3760
Mg  0.3760  0.3760  0.8721
Mg  0.3760  0.8721  0.3760
Mg  0.8721  0.3760  0.3760
Hg  0.7500  0.7500  0.7500

=====

Entry 8:
Computed, not measured: a relaxed structure of SrTl3 at the PBE-GGA level of DFT.

Computed properties:
* E_tot: -9.121 eV per cell

Cell lengths 3.9483, 3.9483, 10.1501 Å; angles 90.00, 90.00, 120.00 degrees
Sites, in units of the cell vectors:
Sr  0.0000  0.0000  0.0000
Tl  0.0000  0.0000  0.5000
Tl  0.6667  0.3333  0.2665
Tl  0.6667  0.3333  0.7335

=====

Entry 9:
Computed, not measured: a relaxed structure of Ac7Ag3 at the PBE-GGA level of DFT.

Computed properties:
* E_tot: -77.510 eV per cell

Cell lengths 11.1202, 11.1202, 7.0237 Å; angles 90.00, 90.00, 120.00 degrees
Sites, in units of the cell vectors:
Ac  0.0787  0.5394  0.0000
Ac  0.1263  0.2526  0.7058
Ac  0.1263  0.8737  0.7058
Ac  0.2526  0.1263  0.2058
Ac  0.3333  0.6667  0.5320
Ac  0.4606  0.5394  0.0000
Ac  0.4606  0.9213  0.0000
Ac  0.5394  0.0787  0.5000
Ac  0.5394  0.4606  0.5000
Ac  0.6667  0.3333  0.0320
Ac  0.7474  0.8737  0.7058
Ac  0.8737  0.1263  0.2058
Ac  0.8737  0.7474  0.2058
Ac  0.9213  0.4606  0.5000
Ag  0.1907  0.3814  0.2771
Ag  0.1907  0.8093  0.2771
Ag  0.3814  0.1907  0.7771
Ag  0.6186  0.8093  0.2771
Ag  0.8093  0.1907  0.7771
Ag  0.8093  0.6186  0.7771

=====

Entry 10:
Computed, not measured: a relaxed structure of Tb7Pr2Er2 at the PBE-GGA level of DFT.

Computed properties:
* E_tot: -49.425 eV per cell

Cell lengths 8.0768, 8.0768, 6.0630 Å; angles 106.09, 106.09, 90.61 degrees
Sites, in units of the cell vectors:
Tb  0.0000  0.0000  0.0000
Tb  0.0590  0.5900  0.8252
Tb  0.4100  0.9410  0.1748
Tb  0.4149  0.4149  0.1991
Tb  0.5851  0.5851  0.8009
Tb  0.5900  0.0590  0.8252
Tb  0.9410  0.4100  0.1748
Pr  0.2299  0.2299  0.5941
Pr  0.7701  0.7701  0.4059
Er  0.2196  0.7804  0.5000
Er  0.7804  0.2196  0.5000

=====

Entry 11:
Computed, not measured: a relaxed structure of Bi2Pd12Pb5 at the PBE-GGA level of DFT.

Computed properties:
* E_tot: -92.310 eV per cell

Cell lengths 8.7837, 8.7837, 6.8442 Å; angles 110.01, 110.01, 52.50 degrees
Sites, in units of the cell vectors:
Bi  0.2163  0.7837  0.0000
Bi  0.7837  0.2163  0.0000
Pd  0.0393  0.0393  0.7182
Pd  0.0801  0.6792  0.5459
Pd  0.1710  0.5423  0.1326
Pd  0.3208  0.9199  0.4541
Pd  0.3988  0.3988  0.8003
Pd  0.4577  0.8290  0.8674
Pd  0.5423  0.1710  0.1326
Pd  0.6012  0.6012  0.1997
Pd  0.6792  0.0801  0.5459
Pd  0.8290  0.4577  0.8674
Pd  0.9199  0.3208  0.4541
Pd  0.9607  0.9607  0.2818
Pb  0.2245  0.2245  0.8137
Pb  0.2558  0.2558  0.3549
Pb  0.5000  0.5000  0.5000
Pb  0.7442  0.7442  0.6451
Pb  0.7755  0.7755  0.1863

=====

Entry 12:
Computed, not measured: a relaxed structure of LaTaAs2 at the PBE-GGA level of DFT.

Computed properties:
* E_tot: -29.503 eV per cell

Cell lengths 6.9946, 6.9946, 6.9946 Å; angles 33.07, 33.07, 33.07 degrees
Sites, in units of the cell vectors:
La  0.0000  0.0000  0.0000
Ta  0.5000  0.5000  0.5000
As  0.2364  0.2364  0.2364
As  0.7636  0.7636  0.7636

=====

Question: What is the formula in the first record?
Answer: CeCuSi3

=====

Question: The lowest E_tot belongs to which entry?
Answer: Na5B7C3

=====

Question: E_tot of number 6 (BaHgSe2)?
Answer: -12.415 eV per cell

=====

Question: Look up the E_tot of the seventh one.
Answer: -8.800 eV per cell